Compound: CoWOF2
Source: Alexandria
Functional: PBE+U
Structure: relaxed

abc: 4.2424 4.2424 4.1674
angles: 90.00 90.00 90.00
Last column: nearest neighbours and their distance in Å.
Positions (direct):
Co 0.5000 0.5000 0.5000  8 F 2.97, 4 O 3.00
O 0.0000 0.0000 0.5000  2 W 2.08
W 0.0000 0.0000 0.0000  2 O 2.08, 4 F 2.12
F 0.0000 0.5000 0.0000  2 W 2.12
F 0.5000 0.0000 0.0000  2 W 2.12

ΔE to the lowest computed polymorph = 0 meV per atom
total energy = -5.087 eV/atom
DOS at the Fermi energy = 5.6 states/eV per cell